Mg5HIr (PBE, optimized geometry); energy relative to the lowest polymorph listed for this composition = 25.8 meV/atom; uncorrected energy = -3.048 eV per atom; calculated volume = 17.77 A^3/atom; magnetization = 0.000 μB per atom; DOS at the Fermi energy = 0.320 states/eV per atom
1.0
4.432 0.000 0.000
2.191 4.891 0.000
0.005 0.034 5.739
Mg H Ir
5 1 1
Direct
0.000 0.000 0.000
0.071 0.857 0.517
0.372 0.257 0.292
0.666 0.666 0.148
0.774 0.450 0.661
0.302 0.374 0.821
0.478 0.046 0.753